ZrWIO2 | GGA+U | relaxed

For the total energy, the calculation gives -5.925 eV/atom. The crystal system is tetragonal.

```
data_ZrWIO2
_symmetry_space_group_name_H-M 'P 4/m m m'
_symmetry_Int_Tables_number 123
_symmetry_space_group_name_Hall '-P 4 2'
_cell_length_a 3.9572
_cell_length_b 3.9572
_cell_length_c 7.6449
_cell_angle_alpha 90.00
_cell_angle_beta 90.00
_cell_angle_gamma 90.00
loop_
_atom_site_label
_atom_site_type_symbol
_atom_site_fract_x
_atom_site_fract_y
_atom_site_fract_z
_atom_site_occupancy
Zr1 Zr 0.0000 0.0000 0.0000 1
W1 W 0.5000 0.5000 0.5000 1
I1 I 0.5000 0.5000 0.0000 1
O1 O 0.0000 0.5000 0.5000 1
```